1.
A plane-wave DFT calculation with PBE was carried out for a relaxed GdTmCuSi crystal.

abc: 4.9196 4.9196 4.9196
angles: 60.00 60.00 60.00
Last column: nearest neighbours and their distance in Å.
Sites, in units of the cell vectors:
Gd: 0.0000 0.0000 0.0000  4 Cu 3.01, 4 Si 3.01
Tm: 0.5000 0.5000 0.5000  4 Cu 3.01, 4 Si 3.01
Cu: 0.7500 0.7500 0.7500  4 Gd 3.01, 4 Tm 3.01
Si: 0.2500 0.2500 0.2500  4 Gd 3.01, 4 Tm 3.01

## Properties
The calculation puts the uncorrected energy at -7.45 eV/atom. Its formation energy (no corrections) is -0.43 eV per atom. As for the space group: F-43m. The value obtained for the density of states at the Fermi level is 0.724 states/eV per atom.

=====

2.
A plane-wave DFT calculation with PBE was carried out for a relaxed SmGdCu crystal.

abc: 6.6414 6.6414 6.6414
angles: 148.92 148.92 44.52
Last column: nearest neighbours and their distance in Å.
Sites, in units of the cell vectors:
Sm: 0.0000 0.0000 0.0000  4 Cu 3.06
Gd: 0.7192 0.7192 0.0000  4 Cu 3.04
Cu: 0.3579 0.3579 0.0000  4 Gd 3.04, 4 Sm 3.06

## Properties
The calculation puts the uncorrected energy at -7.74 eV/atom. As for the space group: I4mm. The value obtained for the formation energy is -0.11 eV per atom. The value obtained for the density of states at the Fermi level is 1.306 states/eV per atom.

=====

| no. | mass density (g/cm³) |
| --- | --- |
| 1 | 8.2 |
| 2 | 7.9 |